The following is a GGA-PBE calculation of a geometry-optimized NbV2CrTc structure, from Alexandria.

Computed properties:
The value obtained for the formation energy is 3.96 eV per formula unit.

Lattice parameters (Å, degrees): 4.2166 4.2166 4.5455 90.00 90.00 90.00
Last column: nearest neighbours and their distance in Å.
Atoms (fractional coordinates):
Nb: 0.0000 0.0000 0.0000  4 Tc 2.98, 8 V 3.10
V: 0.0000 0.5000 0.5000  2 Cr 2.11
V: 0.5000 0.0000 0.5000  2 Cr 2.11
Cr: 0.5000 0.5000 0.5000  4 V 2.11, 2 Tc 2.27
Tc: 0.5000 0.5000 0.0000  2 Cr 2.27